VASP calculation (PBEsol) on a geometry-optimized Ca3IrOs structure.

a b c (Å): 5.212 5.212 5.212
angles (deg): 90.00 90.00 90.00
Element x y z (fractional)
Ca  0.000  0.000  0.500
Ca  0.000  0.500  0.000
Ca  0.500  0.000  0.000
Os  0.500  0.500  0.500
Ir  0.000  0.000  0.000

raw total energy = -4.736 eV/atom
N(E_F) = 8.65 states/eV/cell
space group = Pm-3m